1.
Below is an optimized crystal structure of Dy2Al3Cu, with properties calculated at the PBE level.

Properties
The size of the total moment is 0.00 μB per formula unit. Its symmetry is No. 25. As for the calculated formation energy: -0.454 eV/atom.

a b c (Å): 3.545 4.479 7.755
angles (deg): 90.00 90.00 90.00
Atoms (fractional coordinates):
Dy1 0.000 0.000 0.000
Dy2 0.000 0.500 0.489
Al1 0.500 0.000 0.651
Al2 0.500 0.500 0.169
Al3 0.500 0.500 0.829
Cu1 0.500 0.000 0.325

***

2.
Below is an optimized crystal structure of PmPu2Ga, with properties calculated at the PBE level.

Properties
The size of the total moment is 11.86 μB per formula unit. Its energy above the most stable polymorph in this dataset is 0 meV per atom. Its symmetry is No. 123. As for the calculated formation energy: -0.143 eV/atom.

a b c (Å): 4.462 4.462 5.061
angles (deg): 90.00 90.00 90.00
Atoms (fractional coordinates):
Pm1 0.000 0.000 0.000
Pu1 0.000 0.500 0.500
Pu2 0.500 0.000 0.500
Ga1 0.500 0.500 0.000

***

no.,DOS at the Fermi energy (states/eV/cell)
1,3.3
2,9.5